CaBiSe2 | PBE-GGA | relaxed

Unit cell a=6.1204 b=6.1204 c=8.8936 alpha=69.87 beta=69.87 gamma=90.00
Last column: nearest neighbours and their distance in Å.
Sites, in units of the cell vectors:
Ca (0.5000, 0.5000, 0.0000)  4 Se 2.90
Se (0.8750, 0.8727, 0.7500)  2 Ca 2.90, 2 Bi 2.92
Bi (0.7500, 0.2500, 0.5000)  4 Se 2.92
Se (0.6227, 0.1250, 0.2500)  2 Ca 2.90, 2 Bi 2.92
Se (0.1273, 0.6250, 0.2500)  2 Ca 2.90, 2 Bi 2.92
Se (0.3750, 0.3773, 0.7500)  2 Ca 2.90, 2 Bi 2.92
Ca (0.2500, 0.7500, 0.5000)  4 Se 2.90
Bi (0.0000, 0.0000, 0.0000)  4 Se 2.92

As for the uncorrected formation energy: -0.806 eV/atom. The energy is -32.15 eV per cell. The value obtained for the total magnetic moment is 0.00 μB per cell. Its calculated volume is 36.38 Å³ per atom. The density of states at the Fermi level comes out at 1.58 states/eV/f.u.